Density functional theory data (GGA-PBE) for crystalline Ca2CuRh at its relaxed geometry.

Unit cell a=3.4294 b=4.3011 c=6.0426 alpha=90.00 beta=90.00 gamma=90.00
Fractional coordinates of all 4 atoms:
Ca 0.0000 0.0000 0.0000
Ca 0.5000 0.5000 0.3842
Cu 0.0000 0.0000 0.5486
Rh 0.5000 0.5000 0.8416

Results
Magnetic moment ... 0.0000 μB per atom
Energy relative to the elements ... 0.002 eV per atom

=====

Density functional theory data (GGA-PBE) for crystalline InPd2 at its relaxed geometry.

Unit cell a=3.9997 b=3.9997 c=7.4816 alpha=90.00 beta=90.00 gamma=90.00
Fractional coordinates of all 6 atoms:
In 0.0000 0.0000 0.0000
In 0.5000 0.5000 0.5000
Pd 0.0000 0.5000 0.2500
Pd 0.0000 0.5000 0.7500
Pd 0.5000 0.0000 0.2500
Pd 0.5000 0.0000 0.7500

Results
Magnetic moment ... 0.0000 μB per atom
Energy relative to the elements ... -0.266 eV per atom